# 1
## Li2AlSi (PBE)

Data for a relaxed Li2AlSi crystal.

Cell lengths 4.9539, 4.9539, 4.9250 Å; angles 134.77, 134.77, 66.40 degrees
With the nearest neighbours (Å) after each atom.
Atoms (fractional coordinates):
Si 0.7500 0.2500 0.5000  4 Al 2.66-2.71, 8 Li 2.81
Al 0.2500 0.7500 0.5000  4 Si 2.66-2.71, 8 Li 2.81
Li 0.0000 0.0000 0.0000  4 Li 2.66-2.71, 4 Si 2.81, 4 Al 2.81
Li 0.5000 0.5000 0.0000  4 Li 2.66-2.71, 4 Al 2.81, 4 Si 2.81

Calculated values
E_tot: -13.6 eV per formula unit
Space-group type: Fmmm

# 2
## KTe2Au (PBE)

Data for a relaxed KTe2Au crystal.

Cell lengths 7.3544, 7.3544, 6.4117 Å; angles 103.22, 103.22, 26.01 degrees
With the nearest neighbours (Å) after each atom.
Atoms (fractional coordinates):
Au 0.4346 0.4346 0.5783  3 Te 2.66-2.74
K 0.7512 0.7512 0.7651  2 K 3.31, 2 Au 3.54, 6 Te 3.62-3.65
Te 0.0423 0.0423 0.8811  2 Au 2.74
Te 0.2719 0.2719 0.2755  1 Au 2.66

Calculated values
E_tot: -12.0 eV per formula unit
Space-group type: Cm

# 3
## Rb2YNp3O12 (PBE)

Data for a relaxed Rb2YNp3O12 crystal.

Cell lengths 7.7712, 7.7712, 7.7712 Å; angles 61.84, 61.84, 61.84 degrees
With the nearest neighbours (Å) after each atom.
Atoms (fractional coordinates):
Rb 0.6248 0.6248 0.6248  6 O 3.36-3.50
Rb 0.3752 0.3752 0.3752  6 O 3.36-3.50
Y 0.0000 0.0000 0.0000  6 O 2.27
Np 0.5000 0.0000 0.0000  6 O 1.94-2.11
Np 0.0000 0.5000 0.0000  6 O 1.94-2.11
Np 0.0000 0.0000 0.5000  6 O 1.94-2.11
O 0.3109 0.3109 0.9292  2 Np 2.11
O 0.9270 0.9270 0.3416  1 Np 1.94
O 0.3416 0.9270 0.9270  1 Np 1.94
O 0.9292 0.3109 0.3109  2 Np 2.11
O 0.9270 0.3416 0.9270  1 Np 1.94
O 0.3109 0.9292 0.3109  2 Np 2.11
O 0.6891 0.6891 0.0708  2 Np 2.11
O 0.0730 0.0730 0.6584  1 Np 1.94
O 0.6584 0.0730 0.0730  1 Np 1.94
O 0.0708 0.6891 0.6891  2 Np 2.11
O 0.0730 0.6584 0.0730  1 Np 1.94
O 0.6891 0.0708 0.6891  2 Np 2.11

Calculated values
E_tot: -156.0 eV per formula unit
Space-group type: R-3m

Q: Among the records above, which one has the lowest E_tot?
A: Rb2YNp3O12

Q: Look up the E_tot of the second one.
A: -12.0 eV per formula unit

Q: Which of these has the lowest E_tot?
A: Rb2YNp3O12